1.
VASP calculation (GGA-PBE) on crystalline CsNaHg5 at its relaxed geometry.

The space group is P4/mmm (No. 123) and the conventional cell measures 4.651, 4.651 and 10.965 Å, with angles of 90.00, 90.00 and 90.00 degrees. The distinct sites, in fractional coordinates, are Cs at (0.000, 0.000, 0.000), Na at (0.500, 0.500, 0.500), Hg at (0.000, 0.000, 0.500) and Hg at (0.000, 0.500, 0.279).

For the density of states at the Fermi level, the calculation gives 4.6 states/eV/cell. Its calculated formation energy is -0.178 eV/atom. As for the magnetic moment: 0.000 μB per formula unit.

---

2.
VASP calculation (GGA-PBE) on crystalline RbCd3Rh at its relaxed geometry.

The space group is P1 (No. 1) and the conventional cell measures 7.008, 7.267 and 7.402 Å, with angles of 90.79, 118.22 and 118.73 degrees. The distinct sites, in fractional coordinates, are Rb at (0.000, 0.000, 0.000), Rb at (0.450, 0.370, 0.534), Cd at (0.046, 0.536, 0.041), Cd at (0.397, 0.831, 0.522), Cd at (0.530, 0.536, 0.040), Cd at (0.598, 0.172, 0.023), Cd at (0.916, 0.294, 0.543), Cd at (0.952, 0.829, 0.520), Rh at (0.269, 0.724, 0.816) and Rh at (0.563, 0.877, 0.252).

For the density of states at the Fermi level, the calculation gives 0.1 states/eV/cell. Its calculated formation energy is -0.049 eV/atom. The value obtained for the energy relative to the lowest polymorph listed for this composition is 59.3 meV per atom. As for the magnetic moment: 0.000 μB per formula unit.

---

3.
VASP calculation (GGA-PBE) on crystalline HoHg6 at its relaxed geometry.

The space group is Im-3m (No. 229) and the conventional cell measures 7.949, 7.949 and 7.949 Å, with angles of 90.00, 90.00 and 90.00 degrees. The distinct sites, in fractional coordinates, are Ho at (0.000, 0.000, 0.000) and Hg at (0.000, 0.250, 0.500).

For the density of states at the Fermi level, the calculation gives 9.8 states/eV/cell. Its calculated formation energy is 0.468 eV/atom. The value obtained for the energy relative to the lowest polymorph listed for this composition is 603.4 meV per atom. As for the magnetic moment: 0.000 μB per formula unit.

---

4.
VASP calculation (GGA-PBE) on crystalline CsLiTaBi2 at its relaxed geometry.

The space group is P4/mmm (No. 123) and the conventional cell measures 5.379, 5.379 and 5.300 Å, with angles of 90.00, 90.00 and 90.00 degrees. The distinct sites, in fractional coordinates, are Cs at (0.000, 0.000, 0.000), Li at (0.500, 0.500, 0.500), Ta at (0.500, 0.500, 0.000) and Bi at (0.000, 0.500, 0.500).

For the density of states at the Fermi level, the calculation gives 3.8 states/eV/cell. Its calculated formation energy is 0.856 eV/atom. As for the magnetic moment: 3.030 μB per formula unit.

---

5.
VASP calculation (GGA-PBE) on crystalline K2Ag2Cl7 at its relaxed geometry.

The space group is Cmmm (No. 65) and the conventional cell measures 8.466, 9.850 and 7.337 Å, with angles of 90.00, 90.00 and 90.00 degrees. The distinct sites, in fractional coordinates, are K at (0.233, 0.000, 0.000), Ag at (0.000, 0.263, 0.500), Cl at (0.000, 0.000, 0.500), Cl at (0.000, 0.500, 0.278) and Cl at (0.250, 0.250, 0.273).

For the density of states at the Fermi level, the calculation gives 23.6 states/eV/cell. The uncorrected formation energy is -0.72 eV per atom. As for the magnetic moment: 0.653 μB per formula unit.

---

6.
VASP calculation (GGA-PBE) on crystalline GdAlInHg at its relaxed geometry.

The space group is F-43m (No. 216) and the conventional cell measures 7.234, 7.234 and 7.234 Å, with angles of 90.00, 90.00 and 90.00 degrees. The distinct sites, in fractional coordinates, are Gd at (0.000, 0.000, 0.000), Al at (0.000, 0.000, 0.500), In at (0.250, 0.250, 0.750) and Hg at (0.250, 0.250, 0.250).

For the density of states at the Fermi level, the calculation gives 14.0 states/eV/cell. Its calculated formation energy is -0.197 eV/atom. As for the magnetic moment: 6.744 μB per formula unit.

---

7.
VASP calculation (GGA-PBE) on crystalline Hf2MgBi at its relaxed geometry.

The space group is P4/mmm (No. 123) and the conventional cell measures 4.323, 4.323 and 4.835 Å, with angles of 90.00, 90.00 and 90.00 degrees. The distinct sites, in fractional coordinates, are Hf at (0.000, 0.500, 0.000), Mg at (0.000, 0.000, 0.500) and Bi at (0.500, 0.500, 0.500).

For the density of states at the Fermi level, the calculation gives 3.0 states/eV/cell. Its calculated formation energy is 0.031 eV/atom. As for the magnetic moment: 0.000 μB per formula unit.

---

8.
VASP calculation (GGA-PBE) on crystalline SiRuI2O at its relaxed geometry.

The space group is P4/mmm (No. 123) and the conventional cell measures 5.524, 5.524 and 3.750 Å, with angles of 90.00, 90.00 and 90.00 degrees. The distinct sites, in fractional coordinates, are Si at (0.000, 0.000, 0.000), Ru at (0.500, 0.500, 0.500), I at (0.000, 0.500, 0.500) and O at (0.500, 0.500, 0.000).

For the density of states at the Fermi level, the calculation gives 4.6 states/eV/cell. The value obtained for the energy relative to the lowest polymorph listed for this composition is 0.0 meV per atom. The uncorrected formation energy is 0.20 eV per atom. As for the magnetic moment: 0.000 μB per formula unit.

---

9.
VASP calculation (GGA-PBE) on crystalline KTa2Cd at its relaxed geometry.

The space group is P4/mmm (No. 123) and the conventional cell measures 4.077, 4.077 and 5.545 Å, with angles of 90.00, 90.00 and 90.00 degrees. The distinct sites, in fractional coordinates, are K at (0.000, 0.000, 0.000), Ta at (0.000, 0.500, 0.500) and Cd at (0.500, 0.500, 0.000).

For the density of states at the Fermi level, the calculation gives 5.5 states/eV/cell. Its calculated formation energy is 1.302 eV/atom. As for the magnetic moment: 0.000 μB per formula unit.

---

10.
VASP calculation (GGA-PBE) on crystalline Na3CaTa at its relaxed geometry.

The space group is Pm-3m (No. 221) and the conventional cell measures 5.880, 5.880 and 5.880 Å, with angles of 90.00, 90.00 and 90.00 degrees. The distinct sites, in fractional coordinates, are Na at (0.000, 0.000, 0.500), Ca at (0.500, 0.500, 0.500) and Ta at (0.000, 0.000, 0.000).

For the density of states at the Fermi level, the calculation gives 4.1 states/eV/cell. Its calculated formation energy is 1.316 eV/atom. The value obtained for the energy relative to the lowest polymorph listed for this composition is 0.0 meV per atom. As for the magnetic moment: 4.592 μB per formula unit.

---

11.
VASP calculation (GGA-PBE) on crystalline Sm5Sb2O at its relaxed geometry.

The space group is I4mm (No. 107) and the conventional cell measures 6.968, 6.968 and 9.291 Å, with angles of 90.00, 90.00 and 90.00 degrees. The distinct sites, in fractional coordinates, are Sm at (0.000, 0.000, 0.000), Sm at (0.242, 0.242, 0.251), Sb at (0.000, 0.500, 0.003) and O at (0.000, 0.000, 0.278).

For the density of states at the Fermi level, the calculation gives 16.3 states/eV/cell. The uncorrected formation energy is -1.04 eV per atom. As for the magnetic moment: 0.000 μB per formula unit.

---

12.
VASP calculation (GGA-PBE) on crystalline Mg2In2Pb at its relaxed geometry.

The space group is P4/mbm (No. 127) and the conventional cell measures 8.859, 8.859 and 3.301 Å, with angles of 90.00, 90.00 and 90.00 degrees. The distinct sites, in fractional coordinates, are Mg at (0.124, 0.376, 0.000), In at (0.174, 0.674, 0.500) and Pb at (0.000, 0.000, 0.000).

For the density of states at the Fermi level, the calculation gives 3.6 states/eV/cell. Its calculated formation energy is -0.011 eV/atom. The value obtained for the energy relative to the lowest polymorph listed for this composition is 34.7 meV per atom. As for the magnetic moment: 0.000 μB per formula unit.

---

13.
VASP calculation (GGA-PBE) on crystalline USiAu at its relaxed geometry.

The space group is P-6m2 (No. 187) and the conventional cell measures 4.2973, 4.2973 and 3.8767 Å, with angles of 90.00, 90.00 and 120.00 degrees. The distinct sites, in fractional coordinates, are U at (0.0000, 0.0000, 0.0000), Si at (0.3333, 0.6667, 0.5000) and Au at (0.6667, 0.3333, 0.5000).

For the density of states at the Fermi level, the calculation gives 7.8 states/eV/cell. The uncorrected formation energy is -0.21 eV per atom. As for the magnetic moment: 2.464 μB per formula unit.

---

14.
VASP calculation (GGA-PBE) on crystalline CaTb2Ho at its relaxed geometry.

The space group is C2/m (No. 12) and the conventional cell measures 24.013, 3.484 and 6.440 Å, with angles of 90.00, 94.16 and 90.00 degrees. The distinct sites, in fractional coordinates, are Ca at (0.001, 0.000, 0.249), Tb at (0.128, 0.500, 0.035), Tb at (0.136, 0.000, 0.545) and Ho at (0.248, 0.000, 0.248).

For the density of states at the Fermi level, the calculation gives 22.3 states/eV/cell. Its calculated formation energy is 0.119 eV/atom. The value obtained for the energy relative to the lowest polymorph listed for this composition is 60.8 meV per atom. As for the magnetic moment: 0.000 μB per formula unit.

---

15.
VASP calculation (GGA-PBE) on crystalline HoTh3Sc3 at its relaxed geometry.

The space group is P6_3/m (No. 176) and the conventional cell measures 9.1439, 9.1439 and 5.6296 Å, with angles of 90.00, 90.00 and 120.00 degrees. The distinct sites, in fractional coordinates, are Ho at (0.3333, 0.6667, 0.2500), Th at (0.0440, 0.8018, 0.2500) and Sc at (0.0921, 0.6161, 0.7500).

For the density of states at the Fermi level, the calculation gives 21.5 states/eV/cell. Its calculated formation energy is 0.059 eV/atom. The value obtained for the energy relative to the lowest polymorph listed for this composition is 2.1 meV per atom. As for the magnetic moment: 0.001 μB per formula unit.

---

16.
VASP calculation (GGA-PBE) on crystalline SrYNi2 at its relaxed geometry.

The space group is F-43m (No. 216) and the conventional cell measures 6.797, 6.797 and 6.797 Å, with angles of 90.00, 90.00 and 90.00 degrees. The distinct sites, in fractional coordinates, are Sr at (0.000, 0.000, 0.000), Y at (0.250, 0.250, 0.750), Ni at (0.000, 0.000, 0.500) and Ni at (0.250, 0.250, 0.250).

For the density of states at the Fermi level, the calculation gives 18.7 states/eV/cell. Its calculated formation energy is 0.345 eV/atom. The value obtained for the energy relative to the lowest polymorph listed for this composition is 518.7 meV per atom. As for the magnetic moment: 0.000 μB per formula unit.

---

17.
VASP calculation (GGA-PBE) on crystalline NaCaZn2Ni at its relaxed geometry.

The space group is P4/mmm (No. 123) and the conventional cell measures 4.792, 4.792 and 5.033 Å, with angles of 90.00, 90.00 and 90.00 degrees. The distinct sites, in fractional coordinates, are Na at (0.000, 0.000, 0.000), Ca at (0.500, 0.500, 0.000), Zn at (0.000, 0.500, 0.500) and Ni at (0.500, 0.500, 0.500).

For the density of states at the Fermi level, the calculation gives 2.5 states/eV/cell. Its calculated formation energy is -0.014 eV/atom. As for the magnetic moment: 0.000 μB per formula unit.

---

18.
VASP calculation (GGA-PBE) on crystalline BaZnTe2 at its relaxed geometry.

The space group is R-3m (No. 166, hexagonal axes) and the conventional cell measures 4.5426, 4.5426 and 22.5220 Å, with angles of 90.00, 90.00 and 120.00 degrees. The distinct sites, in fractional coordinates, are Ba at (0.0000, 0.0000, 0.0000), Zn at (0.0000, 0.0000, 0.5000) and Te at (0.0000, 0.0000, 0.2323).

For the density of states at the Fermi level, the calculation gives 0.0 states/eV/cell. The uncorrected formation energy is -0.82 eV per atom. As for the magnetic moment: 0.000 μB per formula unit.

---

19.
VASP calculation (GGA-PBE) on crystalline Na2HfMgN at its relaxed geometry.

The space group is P4/mmm (No. 123) and the conventional cell measures 5.765, 5.765 and 3.715 Å, with angles of 90.00, 90.00 and 90.00 degrees. The distinct sites, in fractional coordinates, are Na at (0.000, 0.500, 0.000), Hf at (0.000, 0.000, 0.500), Mg at (0.500, 0.500, 0.000) and N at (0.500, 0.500, 0.500).

For the density of states at the Fermi level, the calculation gives 3.7 states/eV/cell. The uncorrected formation energy is 1.01 eV per atom. As for the magnetic moment: 0.271 μB per formula unit.

---

20.
VASP calculation (GGA-PBE) on crystalline Mg2Ga4Pd3 at its relaxed geometry.

The space group is Fmmm (No. 69) and the conventional cell measures 5.529, 9.354 and 12.227 Å, with angles of 90.00, 90.00 and 90.00 degrees. The distinct sites, in fractional coordinates, are Mg at (0.000, 0.000, 0.119), Ga at (0.000, 0.161, 0.330), Pd at (0.000, 0.000, 0.500) and Pd at (0.250, 0.250, 0.000).

For the density of states at the Fermi level, the calculation gives 18.8 states/eV/cell. Its calculated formation energy is -0.443 eV/atom. As for the magnetic moment: 0.000 μB per formula unit.